Entry 1:
DFT (PBEsol) results for a relaxed structure of IrRhCl2.

Computed properties:
raw formation energy	585	meV per atom
energy above the lowest structure with this stoichiometry	0.007	eV per atom
total energy	-19.64	eV/cell

```
data_IrRhCl2
_cell_length_a 2.8149
_cell_length_b 4.0700
_cell_length_c 5.2413
_cell_angle_alpha 90.00
_cell_angle_beta 90.00
_cell_angle_gamma 90.00
_space_group_name_H-M_alt 'P m m m'
_space_group_IT_number 47
loop_
_space_group_symop_operation_xyz
'x,y,z'
'-x,-y,-z'
'-x,-y,z'
'x,y,-z'
'x,-y,-z'
'-x,y,z'
'-x,y,-z'
'x,-y,z'
loop_
_atom_site_label
_atom_site_fract_x
_atom_site_fract_y
_atom_site_fract_z
Ir1 0.0000 0.0000 0.0000
Rh1 0.5000 0.0000 0.5000
Cl1 0.0000 0.5000 0.5000
Cl2 0.5000 0.5000 0.0000
```

Entry 2:
DFT (PBEsol) results for a relaxed structure of IrRhCl2.

Computed properties:
raw formation energy	897	meV per atom
energy above the lowest structure with this stoichiometry	0.319	eV per atom
total energy	-73.57	eV/cell

```
data_IrRhCl2
_cell_length_a 6.2381
_cell_length_b 6.2381
_cell_length_c 6.2381
_cell_angle_alpha 90.00
_cell_angle_beta 90.00
_cell_angle_gamma 90.00
_space_group_name_H-M_alt 'F -4 3 m'
_space_group_IT_number 216
_space_group_name_Hall 'F -4 2 3'
loop_
_atom_site_label
_atom_site_fract_x
_atom_site_fract_y
_atom_site_fract_z
Ir1 0.0000 0.0000 0.0000
Rh1 0.2500 0.2500 0.2500
Cl1 0.0000 0.0000 0.5000
Cl2 0.2500 0.2500 0.7500
```

Entry 3:
DFT (PBEsol) results for a relaxed structure of Ir2RuCl.

Computed properties:
raw formation energy	612	meV per atom
energy above the lowest structure with this stoichiometry	0.000	eV per atom
total energy	-58.75	eV/cell

```
data_Ir2RuCl
_cell_length_a 2.6868
_cell_length_b 4.8349
_cell_length_c 8.9666
_cell_angle_alpha 90.00
_cell_angle_beta 90.00
_cell_angle_gamma 90.00
_space_group_name_H-M_alt 'C m m 2'
_space_group_IT_number 35
loop_
_space_group_symop_operation_xyz
'x,y,z'
'-x,-y,z'
'-x,y,z'
'x,-y,z'
'x+1/2,y+1/2,z'
'-x+1/2,-y+1/2,z'
'-x+1/2,y+1/2,z'
'x+1/2,-y+1/2,z'
loop_
_atom_site_label
_atom_site_fract_x
_atom_site_fract_y
_atom_site_fract_z
Ir1 0.0000 0.0000 0.0000
Ir2 0.0000 0.5000 0.2527
Ru1 0.0000 0.0000 0.5062
Cl1 0.0000 0.5000 0.7287
```

Entry 4:
DFT (PBEsol) results for a relaxed structure of Ir2RuCl.

Computed properties:
raw formation energy	959	meV per atom
energy above the lowest structure with this stoichiometry	0.346	eV per atom
total energy	-55.98	eV/cell

```
data_Ir2RuCl
_cell_length_a 5.3846
_cell_length_b 7.8231
_cell_length_c 2.7089
_cell_angle_alpha 90.00
_cell_angle_beta 90.00
_cell_angle_gamma 90.00
_space_group_name_H-M_alt 'C m m m'
_space_group_IT_number 65
_space_group_name_Hall '-C 2 2'
loop_
_atom_site_label
_atom_site_fract_x
_atom_site_fract_y
_atom_site_fract_z
Ir1 0.2500 0.2500 0.0000
Ru1 0.0000 0.0000 0.5000
Cl1 0.0000 0.5000 0.5000
```

Entry 5:
DFT (PBEsol) results for a relaxed structure of IrRu3Cl.

Computed properties:
raw formation energy	1365	meV per atom
total energy	-35.52	eV/cell

```
data_IrRu3Cl
_cell_length_a 4.2167
_cell_length_b 4.2167
_cell_length_c 4.2167
_cell_angle_alpha 90.00
_cell_angle_beta 90.00
_cell_angle_gamma 90.00
_space_group_name_H-M_alt 'P m -3 m'
_space_group_IT_number 221
_space_group_name_Hall '-P 4 2 3'
loop_
_atom_site_label
_atom_site_fract_x
_atom_site_fract_y
_atom_site_fract_z
Ir1 0.0000 0.0000 0.0000
Ru1 0.0000 0.5000 0.5000
Cl1 0.5000 0.5000 0.5000
```

Entry 6:
DFT (PBEsol) results for a relaxed structure of IrRuCl.

Computed properties:
raw formation energy	611	meV per atom
total energy	-80.68	eV/cell

```
data_IrRuCl
_cell_length_a 2.7300
_cell_length_b 4.9367
_cell_length_c 13.1688
_cell_angle_alpha 90.00
_cell_angle_beta 90.00
_cell_angle_gamma 90.00
_space_group_name_H-M_alt 'F m m 2'
_space_group_IT_number 42
_space_group_name_Hall 'F 2 -2'
loop_
_atom_site_label
_atom_site_fract_x
_atom_site_fract_y
_atom_site_fract_z
Ir1 0.0000 0.0000 0.0000
Ru1 0.0000 0.0000 0.6636
Cl1 0.0000 0.0000 0.3155
```

What is the raw formation energy in the second record?
897 meV per atom

Which formula does entry 4 have?
Ir2RuCl

The lowest raw formation energy belongs to which entry?
number 1